1.
## PtC2Br2 (GGA-PBE)

Data for PtC2Br2 after structural relaxation.

Values from the calculation:
For the energy, the calculation gives -3.073 eV/atom. For the excess energy over the best structure of this formula in the dataset, the calculation gives 36 meV per atom. Its uncorrected formation energy is 2.493 eV per atom. As for the theoretical density: 7.1 g cm⁻³.

The structure in CIF format:
```
data_PtC2Br2
_chemical_formula_sum 'Pt2 C4 Br4'
_space_group_name_H-M_alt 'I 4/m m m'
_space_group_IT_number 139
_space_group_name_Hall '-I 4 2'
_cell_length_a 4.740
_cell_length_b 4.740
_cell_length_c 7.876
_cell_angle_alpha 90.00
_cell_angle_beta 90.00
_cell_angle_gamma 90.00
loop_
_atom_site_label
_atom_site_type_symbol
_atom_site_fract_x
_atom_site_fract_y
_atom_site_fract_z
Pt1 Pt 0.000 0.000 0.000
C1 C 0.000 0.500 0.250
Br1 Br 0.000 0.000 0.301
```



2.
## Pt2CBr (GGA-PBE)

Data for Pt2CBr after structural relaxation.

Values from the calculation:
For the energy, the calculation gives -5.165 eV/atom. For the excess energy over the best structure of this formula in the dataset, the calculation gives 0 meV per atom. Its uncorrected formation energy is 0.580 eV per atom. As for the theoretical density: 11.1 g cm⁻³.

The structure in CIF format:
```
data_Pt2CBr
_chemical_formula_sum 'Pt8 C4 Br4'
_space_group_name_H-M_alt 'I -4 2 d'
_space_group_IT_number 122
_space_group_name_Hall 'I -4 2bw'
_cell_length_a 5.905
_cell_length_b 5.905
_cell_length_c 8.298
_cell_angle_alpha 90.00
_cell_angle_beta 90.00
_cell_angle_gamma 90.00
loop_
_atom_site_label
_atom_site_type_symbol
_atom_site_fract_x
_atom_site_fract_y
_atom_site_fract_z
Pt1 Pt 0.142 0.250 0.125
C1 C 0.000 0.000 0.000
Br1 Br 0.000 0.000 0.500
```



3.
## PtCBr2 (GGA-PBE)

Data for PtCBr2 after structural relaxation.

Values from the calculation:
For the energy, the calculation gives -2.670 eV/atom. For the excess energy over the best structure of this formula in the dataset, the calculation gives 430 meV per atom. Its uncorrected formation energy is 1.983 eV per atom. As for the theoretical density: 8.6 g cm⁻³.

The structure in CIF format:
```
data_PtCBr2
_chemical_formula_sum 'Pt4 C4 Br8'
_space_group_name_H-M_alt 'F m -3 m'
_space_group_IT_number 225
_space_group_name_Hall '-F 4 2 3'
_cell_length_a 6.558
_cell_length_b 6.558
_cell_length_c 6.558
_cell_angle_alpha 90.00
_cell_angle_beta 90.00
_cell_angle_gamma 90.00
loop_
_atom_site_label
_atom_site_type_symbol
_atom_site_fract_x
_atom_site_fract_y
_atom_site_fract_z
Pt1 Pt 0.000 0.000 0.000
C1 C 0.000 0.000 0.500
Br1 Br 0.250 0.250 0.250
```